Version a
Crystalline La2PuIn at its relaxed geometry. Source: the Alexandria database, functional GGA-PBE.

* crystal system: tetragonal

Unit cell a=3.7927 b=3.7927 c=8.8230 alpha=90.00 beta=90.00 gamma=90.00
With the nearest neighbours (Å) after each atom.
Space group P4/mmm (No. 123)
Unique sites:
La 0.0000 0.0000 0.2366  4 In 3.40, 4 Pu 3.55, 4 La 3.79
Pu 0.5000 0.5000 0.5000  8 La 3.55, 4 Pu 3.79
In 0.5000 0.5000 0.0000  8 La 3.40, 4 In 3.79

Version b
Crystalline La2PuIn at its relaxed geometry. Source: the Alexandria database, functional GGA-PBE.

* crystal system: trigonal

Unit cell a=3.4626 b=3.4626 c=36.4818 alpha=90.00 beta=90.00 gamma=120.00
With the nearest neighbours (Å) after each atom.
Space group R-3m (No. 166, hexagonal axes)
Unique sites:
La 0.0000 0.0000 0.0899  1 Pu 3.28, 3 In 3.44, 6 La 3.46
Pu 0.0000 0.0000 0.0000  2 La 3.28, 6 Pu 3.46
In 0.0000 0.0000 0.5000  6 La 3.44, 6 In 3.46

Tell me which of them is the most stable. Sure, it is version a.

Version a
Crystalline La2PuIn at its relaxed geometry. Source: the Alexandria database, functional GGA-PBE.

* crystal system: tetragonal

Unit cell a=5.0767 b=5.0767 c=4.7439 alpha=90.00 beta=90.00 gamma=90.00
With the nearest neighbours (Å) after each atom.
Space group P4/mmm (No. 123)
Unique sites:
La 0.0000 0.5000 0.0000  4 In 3.47, 4 Pu 3.47, 4 La 3.59
Pu 0.0000 0.0000 0.5000  8 La 3.47, 4 In 3.59
In 0.5000 0.5000 0.5000  8 La 3.47, 4 Pu 3.59

Version b
Crystalline La2PuIn at its relaxed geometry. Source: the Alexandria database, functional GGA-PBE.

* crystal system: cubic

Unit cell a=7.9149 b=7.9149 c=7.9149 alpha=90.00 beta=90.00 gamma=90.00
With the nearest neighbours (Å) after each atom.
Space group Fm-3m (No. 225)
Unique sites:
La 0.2500 0.2500 0.2500  4 Pu 3.43, 4 In 3.43
Pu 0.0000 0.0000 0.0000  8 La 3.43
In 0.0000 0.0000 0.5000  8 La 3.43

Tell me which of them is the most stable. Sure, it is version a.

Version a
Crystalline Rb3LaIn at its relaxed geometry. Source: the Alexandria database, functional GGA-PBE.

* crystal system: cubic

Unit cell a=7.1412 b=7.1412 c=7.1412 alpha=90.00 beta=90.00 gamma=90.00
With the nearest neighbours (Å) after each atom.
Space group Pm-3m (No. 221)
Unique sites:
Rb 0.0000 0.0000 0.5000  2 La 3.57
La 0.0000 0.0000 0.0000  6 Rb 3.57
In 0.5000 0.5000 0.5000  12 Rb 5.05

Version b
Crystalline Rb3LaIn at its relaxed geometry. Source: the Alexandria database, functional GGA-PBE.

* crystal system: cubic

Unit cell a=6.4007 b=6.4007 c=6.4007 alpha=90.00 beta=90.00 gamma=90.00
With the nearest neighbours (Å) after each atom.
Space group Pm-3m (No. 221)
Unique sites:
Rb 0.0000 0.0000 0.5000  2 In 3.20
La 0.5000 0.5000 0.5000  12 Rb 4.53
In 0.0000 0.0000 0.0000  6 Rb 3.20

Tell me which of them is the most stable. Sure, it is version b.

Version a
Crystalline RbLa2In2 at its relaxed geometry. Source: the Alexandria database, functional GGA-PBE.

* crystal system: tetragonal

Unit cell a=9.8689 b=9.8689 c=3.6210 alpha=90.00 beta=90.00 gamma=90.00
With the nearest neighbours (Å) after each atom.
Space group P4/mbm (No. 127)
Unique sites:
Rb 0.0000 0.0000 0.0000  2 Rb 3.62, 4 In 3.92
La 0.1680 0.3320 0.5000  6 In 3.41-3.45, 2 La 3.62
In 0.1215 0.6215 0.0000  3 In 3.39-3.62, 6 La 3.41-3.45

Version b
Crystalline RbLa2In2 at its relaxed geometry. Source: the Alexandria database, functional GGA-PBE.

* crystal system: tetragonal

Unit cell a=10.0320 b=10.0320 c=3.4741 alpha=90.00 beta=90.00 gamma=90.00
With the nearest neighbours (Å) after each atom.
Space group P4/mbm (No. 127)
Unique sites:
Rb 0.0000 0.0000 0.0000  2 Rb 3.47
La 0.1229 0.3771 0.0000  6 In 3.39-3.47, 3 La 3.47-3.49
In 0.1721 0.6721 0.5000  6 La 3.39-3.47, 2 In 3.47

Tell me which of them is the most stable. Sure, it is version b.

Version a
Crystalline RbLaIn3 at its relaxed geometry. Source: the Alexandria database, functional GGA-PBE.

* crystal system: cubic

Unit cell a=5.8248 b=5.8248 c=5.8248 alpha=90.00 beta=90.00 gamma=90.00
With the nearest neighbours (Å) after each atom.
Space group Pm-3m (No. 221)
Unique sites:
Rb 0.0000 0.0000 0.0000  6 In 2.91
La 0.5000 0.5000 0.5000  12 In 4.12
In 0.0000 0.0000 0.5000  2 Rb 2.91

Version b
Crystalline RbLaIn3 at its relaxed geometry. Source: the Alexandria database, functional GGA-PBE.

* crystal system: cubic

Unit cell a=6.2149 b=6.2149 c=6.2149 alpha=90.00 beta=90.00 gamma=90.00
With the nearest neighbours (Å) after each atom.
Space group Pm-3m (No. 221)
Unique sites:
Rb 0.0000 0.0000 0.0000  12 In 4.39
La 0.5000 0.5000 0.5000  6 In 3.11
In 0.0000 0.5000 0.5000  2 La 3.11

Tell me which of them is the most stable. Sure, it is version b.

Version a
Crystalline LaInRe3 at its relaxed geometry. Source: the Alexandria database, functional GGA-PBE.

* crystal system: cubic

Unit cell a=4.8821 b=4.8821 c=4.8821 alpha=90.00 beta=90.00 gamma=90.00
With the nearest neighbours (Å) after each atom.
Space group Pm-3m (No. 221)
Unique sites:
La 0.0000 0.0000 0.0000  6 Re 2.44
In 0.5000 0.5000 0.5000  12 Re 3.45
Re 0.0000 0.0000 0.5000  2 La 2.44

Version b
Crystalline LaInRe3 at its relaxed geometry. Source: the Alexandria database, functional GGA-PBE.

* crystal system: cubic

Unit cell a=4.9378 b=4.9378 c=4.9378 alpha=90.00 beta=90.00 gamma=90.00
With the nearest neighbours (Å) after each atom.
Space group Pm-3m (No. 221)
Unique sites:
La 0.0000 0.0000 0.0000  12 Re 3.49
In 0.5000 0.5000 0.5000  6 Re 2.47
Re 0.0000 0.5000 0.5000  2 In 2.47

Tell me which of them is the most stable. Sure, it is version b.